No. 1
Pr2PaIn3Te6 | GGA-PBE | relaxed

Computed properties:
D(E_F): 8.97 states/eV/cell
formation energy from raw total energies: -9.89 eV/f.u.
space group: C2/m, No. 12

Unit cell a=7.7205 b=7.7205 c=8.6220 alpha=98.57 beta=98.57 gamma=119.94
Closest atoms and distances in Å follow each position.
Fractional coordinates of all 12 atoms:
In (0.5000, 0.5000, 0.5000)  6 Te 3.39-3.47
In (0.8302, 0.1698, 0.5000)  6 Te 3.38-3.46
In (0.1698, 0.8302, 0.5000)  6 Te 3.38-3.46
Te (0.0752, 0.3975, 0.2269)  1 Pa 3.11, 2 Pr 3.22, 3 In 3.38-3.46
Te (0.6025, 0.9248, 0.7731)  1 Pa 3.11, 2 Pr 3.22, 3 In 3.38-3.46
Te (0.7553, 0.7553, 0.2301)  1 Pa 3.12, 2 Pr 3.23, 3 In 3.39-3.47
Te (0.2447, 0.2447, 0.7699)  1 Pa 3.12, 2 Pr 3.23, 3 In 3.39-3.47
Te (0.9248, 0.6025, 0.7731)  1 Pa 3.11, 2 Pr 3.22, 3 In 3.38-3.46
Te (0.3975, 0.0752, 0.2269)  1 Pa 3.11, 2 Pr 3.22, 3 In 3.38-3.46
Pr (0.3339, 0.6661, 0.0000)  6 Te 3.22-3.23
Pr (0.6661, 0.3339, 0.0000)  6 Te 3.22-3.23
Pa (0.0000, 0.0000, 0.0000)  6 Te 3.11-3.12

No. 2
GaAg2AuF6 | GGA-PBE | relaxed

Computed properties:
formation energy from raw total energies: -15.85 eV/f.u.
space group: P-1, No. 2

Unit cell a=6.6823 b=5.6601 c=5.1887 alpha=76.00 beta=54.95 gamma=69.36
Closest atoms and distances in Å follow each position.
Fractional coordinates of all 10 atoms:
Ag (0.9860, 0.9870, 0.8811)  4 F 2.34-2.51
Ag (0.6465, 0.6453, 0.2218)  4 F 2.34-2.51
F (0.3182, 0.6231, 0.8003)  1 Ga 1.90
F (0.3142, 0.0091, 0.3028)  1 Ga 1.90
F (0.5097, 0.1242, 0.6659)  1 Ga 1.99, 1 Au 2.04
F (0.6236, 0.3204, 0.9913)  1 Ga 1.90
F (0.1224, 0.5083, 0.4371)  1 Ga 1.99, 1 Au 2.04
F (0.0087, 0.3118, 0.1119)  1 Ga 1.90
Ga (0.3162, 0.3161, 0.0516)  6 F 1.90-1.99
Au (0.8161, 0.8163, 0.5515)  2 F 2.04

No. 3
NbCrTc | GGA-PBE | relaxed

Computed properties:
energy relative to the elements: 0.35 eV per formula unit
distance to the lowest polymorph of the same formula: 18.0 kJ per mole of atoms
D(E_F): 6.87 states/eV/cell
space group: C2/m, No. 12

Unit cell a=4.1902 b=5.2261 c=5.0539 alpha=74.78 beta=65.51 gamma=66.37
Closest atoms and distances in Å follow each position.
Fractional coordinates of all 6 atoms:
Cr (0.6613, 0.3425, 0.3349)  1 Cr 2.26, 3 Tc 2.46-2.50
Cr (0.3387, 0.6575, 0.6651)  1 Cr 2.26, 3 Tc 2.46-2.50
Tc (0.3395, 0.2634, 0.0576)  3 Cr 2.46-2.50, 1 Tc 2.64, 2 Nb 2.73
Tc (0.6605, 0.7366, 0.9424)  3 Cr 2.46-2.50, 1 Tc 2.64, 2 Nb 2.73
Nb (0.9440, 0.8043, 0.3077)  3 Cr 2.59-2.71, 3 Tc 2.73-2.90
Nb (0.0560, 0.1957, 0.6923)  3 Cr 2.59-2.71, 3 Tc 2.73-2.90

No. 4
Sb2PdBr | GGA-PBE | relaxed

Computed properties:
distance to the lowest polymorph of the same formula: 42.8 kJ per mole of atoms
D(E_F): 3.24 states/eV/cell
formation energy from raw total energies: 0.72 eV/f.u.
space group: Fm-3m, No. 225

Unit cell a=5.0359 b=5.0359 c=5.0359 alpha=60.00 beta=60.00 gamma=60.00
Closest atoms and distances in Å follow each position.
Fractional coordinates of all 4 atoms:
Sb (0.2500, 0.2500, 0.2500)  4 Br 3.08, 4 Pd 3.08
Sb (0.7500, 0.7500, 0.7500)  4 Br 3.08, 4 Pd 3.08
Pd (0.5000, 0.5000, 0.5000)  8 Sb 3.08
Br (0.0000, 0.0000, 0.0000)  8 Sb 3.08

No. 5
MnGaFe2H | GGA-PBE | relaxed

Computed properties:
distance to the lowest polymorph of the same formula: 18.4 kJ per mole of atoms
D(E_F): 2.16 states/eV/cell
space group: P4/mmm, No. 123

Unit cell a=3.6018 b=3.6018 c=4.0514 alpha=90.00 beta=90.00 gamma=90.00
Closest atoms and distances in Å follow each position.
Fractional coordinates of all 5 atoms:
Ga (0.0000, 0.0000, 0.5000)  2 H 2.03
Fe (0.5000, 0.0000, 0.0000)  2 H 1.80
Fe (0.0000, 0.5000, 0.0000)  2 H 1.80
Mn (0.5000, 0.5000, 0.5000)  4 Ga 2.55, 8 Fe 2.71
H (0.0000, 0.0000, 0.0000)  4 Fe 1.80

No. 6
K3Pu3TeS8 | GGA-PBE | relaxed

Computed properties:
D(E_F): 25.44 states/eV/cell
formation energy from raw total energies: -18.99 eV/f.u.
space group: R-3m, No. 166

Unit cell a=8.1572 b=8.1546 c=8.7824 alpha=117.66 beta=90.00 gamma=120.01
Closest atoms and distances in Å follow each position.
Fractional coordinates of all 15 atoms:
S (0.7732, 0.0325, 0.3058)  1 Te 2.70, 2 Pu 2.79
S (0.2674, 0.5348, 0.3024)  3 Pu 2.77
S (0.7732, 0.5464, 0.3059)  1 Te 2.70, 2 Pu 2.79
S (0.7408, 0.9675, 0.6942)  1 Te 2.70, 2 Pu 2.79
S (0.7326, 0.4652, 0.6976)  3 Pu 2.77
S (0.2268, 0.4536, 0.6941)  1 Te 2.70, 2 Pu 2.79
S (0.2592, 0.0325, 0.3058)  1 Te 2.70, 2 Pu 2.79
S (0.2268, 0.9675, 0.6942)  1 Te 2.70, 2 Pu 2.79
K (0.5000, 0.5000, 0.0000)  6 S 3.24-3.25
K (0.0000, 0.0000, 0.0000)  6 S 3.25
K (0.0000, 0.5000, 0.0000)  6 S 3.24-3.25
Pu (0.0000, 0.5000, 0.5000)  6 S 2.77-2.79
Pu (0.5000, 0.5000, 0.5000)  6 S 2.77-2.79
Pu (0.5000, 0.0000, 0.5000)  6 S 2.77-2.79
Te (0.0000, 0.0000, 0.5000)  6 S 2.70

No. 7
CsZnGePSe | GGA-PBE | relaxed

Computed properties:
distance to the lowest polymorph of the same formula: 24.4 kJ per mole of atoms
formation energy from raw total energies: -1.09 eV/f.u.
space group: P1, No. 1

Unit cell a=5.0007 b=5.2324 c=6.6087 alpha=94.52 beta=94.37 gamma=96.57
Closest atoms and distances in Å follow each position.
Fractional coordinates of all 5 atoms:
P (0.8343, 0.9432, 0.7046)  1 Ge 2.32, 1 Zn 2.40, 1 Se 2.43
Ge (0.5602, 0.5505, 0.6827)  1 P 2.32, 1 Zn 2.46
Se (0.7873, 0.2929, 0.9602)  1 P 2.43, 1 Zn 2.59, 1 Ge 2.62
Zn (0.1110, 0.6158, 0.7891)  1 P 2.40, 1 Ge 2.46, 1 Se 2.59
Cs (0.2854, 0.9966, 0.2899)  2 P 3.69-3.78, 2 Zn 3.72-4.09, 2 Se 3.73, 2 Ge 3.79-3.90

No. 8
Er2LuSn | GGA-PBE | relaxed

Computed properties:
energy relative to the elements: 0.15 eV per formula unit
distance to the lowest polymorph of the same formula: 41.3 kJ per mole of atoms
D(E_F): 6.15 states/eV/cell
space group: R-3m, No. 166

Unit cell a=3.4362 b=3.4362 c=11.8045 alpha=81.63 beta=81.63 gamma=60.00
Closest atoms and distances in Å follow each position.
Fractional coordinates of all 4 atoms:
Er (0.0943, 0.0943, 0.7171)  3 Sn 3.21, 1 Lu 3.29, 6 Er 3.44
Er (0.9057, 0.9057, 0.2829)  3 Sn 3.21, 1 Lu 3.29, 6 Er 3.44
Sn (0.5000, 0.5000, 0.5000)  6 Er 3.21, 6 Sn 3.44
Lu (0.0000, 0.0000, 0.0000)  2 Er 3.29, 6 Lu 3.44

No. 9
Ir2PtPb | GGA-PBE | relaxed

Computed properties:
energy relative to the elements: 1.42 eV per formula unit
D(E_F): 4.05 states/eV/cell
space group: Pm, No. 6

Unit cell a=4.3725 b=2.8989 c=5.7598 alpha=75.33 beta=90.00 gamma=90.00
Closest atoms and distances in Å follow each position.
Fractional coordinates of all 4 atoms:
Ir (0.0000, 0.7863, 0.0521)  1 Pb 2.69, 6 Ir 2.71-2.90, 2 Pt 2.81
Ir (0.5000, 0.2238, 0.1764)  6 Ir 2.71-2.90, 2 Pt 2.85
Pt (0.5000, 0.9437, 0.7366)  5 Ir 2.81-3.12, 4 Pb 2.85, 2 Pt 2.90
Pb (0.0000, 0.5461, 0.5349)  1 Ir 2.69, 4 Pt 2.85, 2 Pb 2.90

No. 10
Na3HfIr | GGA-PBE | relaxed

Computed properties:
energy relative to the elements: 7.26 eV per formula unit
D(E_F): 4.77 states/eV/cell
space group: Pm-3m, No. 221

Unit cell a=5.2748 b=5.2748 c=5.2748 alpha=90.00 beta=90.00 gamma=90.00
Closest atoms and distances in Å follow each position.
Fractional coordinates of all 5 atoms:
Na (0.0000, 0.5000, 0.0000)  2 Ir 2.64
Na (0.0000, 0.0000, 0.5000)  2 Ir 2.64
Na (0.5000, 0.0000, 0.0000)  2 Ir 2.64
Hf (0.5000, 0.5000, 0.5000)  12 Na 3.73
Ir (0.0000, 0.0000, 0.0000)  6 Na 2.64

No. 11
MnSnIrSe | GGA-PBE | relaxed

Computed properties:
distance to the lowest polymorph of the same formula: 5.7 kJ per mole of atoms
D(E_F): 2.06 states/eV/cell
formation energy from raw total energies: -0.12 eV/f.u.
space group: Pm, No. 6

Unit cell a=3.0085 b=3.1369 c=8.5162 alpha=90.00 beta=99.92 gamma=90.00
Closest atoms and distances in Å follow each position.
Fractional coordinates of all 4 atoms:
Mn (0.5302, 0.5000, 0.8272)  2 Se 2.41, 4 Ir 2.67
Se (0.6378, 0.0000, 0.0458)  2 Mn 2.41
Ir (0.9399, 0.0000, 0.6424)  4 Mn 2.67, 4 Sn 2.86
Sn (0.3313, 0.5000, 0.4199)  4 Ir 2.86, 4 Sn 3.01-3.14

No. 12
Na2DyThS4 | GGA-PBE | relaxed

Computed properties:
D(E_F): 3.89 states/eV/cell
formation energy from raw total energies: -13.80 eV/f.u.
space group: P2/m, No. 10

Unit cell a=3.9960 b=6.9530 c=7.1442 alpha=108.70 beta=90.00 gamma=90.00
Closest atoms and distances in Å follow each position.
Fractional coordinates of all 8 atoms:
S (0.0000, 0.7401, 0.2308)  2 Dy 2.78, 1 Th 2.81, 3 Na 2.92-2.95
S (0.5000, 0.7478, 0.7619)  1 Dy 2.78, 2 Th 2.84, 3 Na 2.90-2.95
S (0.0000, 0.2599, 0.7692)  2 Dy 2.78, 1 Th 2.81, 3 Na 2.92-2.95
S (0.5000, 0.2522, 0.2381)  1 Dy 2.78, 2 Th 2.84, 3 Na 2.90-2.95
Th (0.0000, 0.0000, 0.0000)  6 S 2.81-2.84
Na (0.5000, 0.0000, 0.5000)  6 S 2.95
Na (0.0000, 0.5000, 0.5000)  6 S 2.90-2.92
Dy (0.5000, 0.5000, 0.0000)  6 S 2.78

Number 1: final energy -4.6675 eV/atom. Number 2: final energy -3.9084 eV/atom. Number 3: final energy -9.9045 eV/atom. Number 4: final energy -3.5984 eV/atom. Number 5: final energy -6.4320 eV/atom. Number 6: final energy -6.7625 eV/atom. Number 7: final energy -3.3461 eV/atom. Number 8: final energy -4.3745 eV/atom. Number 9: final energy -6.5127 eV/atom. Number 10: final energy -3.1030 eV/atom. Number 11: final energy -6.4103 eV/atom. Number 12: final energy -5.6210 eV/atom.